## A
This record from Alexandria describes crystalline TaHW2 at its relaxed geometry. The functional is PBE.

a = 6.208 Å, b = 6.208 Å, c = 6.208 Å
α = 90.00°, β = 90.00°, γ = 90.00°
Space group Fm-3m (No. 225)
Unique sites:
Ta  0.000  0.000  0.000 x4
H  0.000  0.000  0.500 x4
W  0.250  0.250  0.250 x8

ρ	15.3	Mg/m³
size of the total moment	0.00	Bohr magnetons per cell
D(E_F)	1.0190	states/eV/atom

## B
This record from Alexandria describes crystalline TaHW2 at its relaxed geometry. The functional is PBE.

a = 7.739 Å, b = 7.739 Å, c = 7.739 Å
α = 90.00°, β = 90.00°, γ = 90.00°
Space group Fd-3m (No. 227, origin choice 2)
Unique sites:
Ta  0.125  0.125  0.125 x8
H  0.125  0.125  0.625 x8
W  0.000  0.000  0.500 x16

ρ	15.8	Mg/m³
size of the total moment	0.00	Bohr magnetons per cell
D(E_F)	1.2813	states/eV/atom

## C
This record from Alexandria describes crystalline TaHW2 at its relaxed geometry. The functional is PBE.

a = 2.8598 Å, b = 2.8598 Å, c = 23.5087 Å
α = 90.00°, β = 90.00°, γ = 120.00°
Space group R-3m (No. 166, hexagonal axes)
Unique sites:
Ta  0.0000  0.0000  0.0000 x3
H  0.0000  0.0000  0.5000 x3
W  0.0000  0.0000  0.1131 x6

ρ	16.4	Mg/m³
size of the total moment	0.00	Bohr magnetons per cell
D(E_F)	1.0069	states/eV/atom

Most stable to least stable: B, C, A

## A
This record from Alexandria describes crystalline YTaH2 at its relaxed geometry. The functional is PBE.

a = 5.194 Å, b = 5.194 Å, c = 7.668 Å
α = 90.00°, β = 90.00°, γ = 90.00°
Space group I-42d (No. 122)
Unique sites:
Y  0.000  0.000  0.000 x4
Ta  0.000  0.000  0.500 x4
H  0.204  0.250  0.625 x8

ρ	8.7	Mg/m³
size of the total moment	0.00	Bohr magnetons per cell
D(E_F)	0.4142	states/eV/atom

## B
This record from Alexandria describes crystalline YTaH2 at its relaxed geometry. The functional is PBE.

a = 5.915 Å, b = 5.915 Å, c = 5.915 Å
α = 90.00°, β = 90.00°, γ = 90.00°
Space group Fm-3m (No. 225)
Unique sites:
Y  0.000  0.000  0.000 x4
Ta  0.000  0.000  0.500 x4
H  0.250  0.250  0.250 x8

ρ	8.7	Mg/m³
size of the total moment	0.00	Bohr magnetons per cell
D(E_F)	0.6583	states/eV/atom

Most stable to least stable: A, B

## A
This record from Alexandria describes crystalline YTa2H at its relaxed geometry. The functional is PBE.

a = 6.596 Å, b = 6.596 Å, c = 6.596 Å
α = 90.00°, β = 90.00°, γ = 90.00°
Space group Fm-3m (No. 225)
Unique sites:
Y  0.000  0.000  0.000 x4
Ta  0.250  0.250  0.250 x8
H  0.000  0.000  0.500 x4

ρ	10.5	Mg/m³
size of the total moment	0.00	Bohr magnetons per cell
D(E_F)	1.0749	states/eV/atom

## B
This record from Alexandria describes crystalline YTa2H at its relaxed geometry. The functional is PBE.

a = 5.927 Å, b = 5.927 Å, c = 8.369 Å
α = 90.00°, β = 90.00°, γ = 90.00°
Space group I4_1/amd (No. 141, origin choice 2)
Unique sites:
Y  0.000  0.250  0.375 x4
Ta  0.000  0.000  0.000 x8
H  0.000  0.250  0.875 x4

ρ	10.2	Mg/m³
size of the total moment	0.00	Bohr magnetons per cell
D(E_F)	1.3694	states/eV/atom

Most stable to least stable: B, A

## A
This record from Alexandria describes crystalline TaZn2H2 at its relaxed geometry. The functional is PBE.

a = 2.835 Å, b = 2.835 Å, c = 13.769 Å
α = 90.00°, β = 90.00°, γ = 90.00°
Space group I4/mmm (No. 139)
Unique sites:
Ta  0.000  0.000  0.000 x2
Zn  0.000  0.000  0.348 x4
H  0.000  0.500  0.250 x4

ρ	9.4	Mg/m³
size of the total moment	0.00	Bohr magnetons per cell
D(E_F)	0.7191	states/eV/atom

## B
This record from Alexandria describes crystalline TaZn2H2 at its relaxed geometry. The functional is PBE.

a = 7.018 Å, b = 7.018 Å, c = 2.564 Å
α = 90.00°, β = 90.00°, γ = 90.00°
Space group P4/mbm (No. 127)
Unique sites:
Ta  0.000  0.000  0.000 x2
Zn  0.132  0.368  0.000 x4
H  0.106  0.606  0.500 x4

ρ	8.3	Mg/m³
size of the total moment	0.00	Bohr magnetons per cell
D(E_F)	0.4506	states/eV/atom

Most stable to least stable: A, B

## A
This record from Alexandria describes crystalline TaZnH2 at its relaxed geometry. The functional is PBE.

a = 3.0820 Å, b = 3.0820 Å, c = 15.3373 Å
α = 90.00°, β = 90.00°, γ = 120.00°
Space group R3m (No. 160, hexagonal axes)
Unique sites:
Ta  0.0000  0.0000  0.0000 x3
Zn  0.0000  0.0000  0.1800 x3
H  0.0000  0.0000  0.3894 x3
H  0.0000  0.0000  0.6218 x3

ρ	9.8	Mg/m³
size of the total moment	0.00	Bohr magnetons per cell
D(E_F)	0.4248	states/eV/atom

## B
This record from Alexandria describes crystalline TaZnH2 at its relaxed geometry. The functional is PBE.

a = 5.306 Å, b = 5.306 Å, c = 5.306 Å
α = 90.00°, β = 90.00°, γ = 90.00°
Space group Fm-3m (No. 225)
Unique sites:
Ta  0.000  0.000  0.000 x4
Zn  0.000  0.000  0.500 x4
H  0.250  0.250  0.250 x8

ρ	11.0	Mg/m³
size of the total moment	0.00	Bohr magnetons per cell
D(E_F)	0.5647	states/eV/atom

Most stable to least stable: A, B

## A
This record from Alexandria describes crystalline TaZn3H at its relaxed geometry. The functional is PBE.

a = 5.250 Å, b = 5.250 Å, c = 5.250 Å
α = 90.00°, β = 90.00°, γ = 90.00°
Space group Pm-3m (No. 221)
Unique sites:
Ta  0.000  0.000  0.000 x1
Zn  0.000  0.000  0.500 x3
H  0.500  0.500  0.500 x1

ρ	4.3	Mg/m³
size of the total moment	3.25	Bohr magnetons per cell
D(E_F)	0.9207	states/eV/atom

## B
This record from Alexandria describes crystalline TaZn3H at its relaxed geometry. The functional is PBE.

a = 3.993 Å, b = 3.993 Å, c = 3.993 Å
α = 90.00°, β = 90.00°, γ = 90.00°
Space group Pm-3m (No. 221)
Unique sites:
Ta  0.000  0.000  0.000 x1
Zn  0.000  0.500  0.500 x3
H  0.500  0.500  0.500 x1

ρ	9.9	Mg/m³
size of the total moment	0.00	Bohr magnetons per cell
D(E_F)	0.5813	states/eV/atom

Most stable to least stable: B, A

## A
This record from Alexandria describes crystalline ZrTaH2 at its relaxed geometry. The functional is PBE.

a = 5.690 Å, b = 5.690 Å, c = 5.690 Å
α = 90.00°, β = 90.00°, γ = 90.00°
Space group Fm-3m (No. 225)
Unique sites:
Zr  0.000  0.000  0.000 x4
Ta  0.000  0.000  0.500 x4
H  0.250  0.250  0.250 x8

ρ	9.9	Mg/m³
size of the total moment	0.00	Bohr magnetons per cell
D(E_F)	0.3654	states/eV/atom

## B
This record from Alexandria describes crystalline ZrTaH2 at its relaxed geometry. The functional is PBE.

a = 5.208 Å, b = 3.032 Å, c = 5.890 Å
α = 90.00°, β = 90.94°, γ = 90.00°
Space group P2/c (No. 13)
Unique sites:
Zr  0.000  0.209  0.250 x2
Ta  0.500  0.500  0.000 x2
H  0.157  0.295  0.936 x4

ρ	9.8	Mg/m³
size of the total moment	0.00	Bohr magnetons per cell
D(E_F)	0.5311	states/eV/atom

Most stable to least stable: B, A

## A
This record from Alexandria describes crystalline Tb2TcH at its relaxed geometry. The functional is PBE.

a = 3.1983 Å, b = 3.1983 Å, c = 24.9992 Å
α = 90.00°, β = 90.00°, γ = 120.00°
Space group R-3m (No. 166, hexagonal axes)
Unique sites:
Tb  0.0000  0.0000  0.1057 x6
Tc  0.0000  0.0000  0.0000 x3
H  0.0000  0.0000  0.5000 x3

ρ	9.4	Mg/m³
size of the total moment	2.59	Bohr magnetons per cell
D(E_F)	0.8553	states/eV/atom

## B
This record from Alexandria describes crystalline Tb2TcH at its relaxed geometry. The functional is PBE.

a = 3.330 Å, b = 3.330 Å, c = 6.975 Å
α = 90.00°, β = 90.00°, γ = 90.00°
Space group P4/mmm (No. 123)
Unique sites:
Tb  0.000  0.000  0.242 x2
Tc  0.500  0.500  0.000 x1
H  0.500  0.500  0.500 x1

ρ	8.9	Mg/m³
size of the total moment	0.00	Bohr magnetons per cell
D(E_F)	0.4452	states/eV/atom

Most stable to least stable: B, A

## A
This record from Alexandria describes crystalline TbThH at its relaxed geometry. The functional is PBE.

a = 3.5447 Å, b = 3.5447 Å, c = 18.3618 Å
α = 90.00°, β = 90.00°, γ = 120.00°
Space group R3m (No. 160, hexagonal axes)
Unique sites:
Tb  0.0000  0.0000  0.0000 x3
Th  0.0000  0.0000  0.8232 x3
H  0.0000  0.0000  0.2448 x3

ρ	9.8	Mg/m³
size of the total moment	0.00	Bohr magnetons per cell
D(E_F)	0.9623	states/eV/atom

## B
This record from Alexandria describes crystalline TbThH at its relaxed geometry. The functional is PBE.

a = 3.6019 Å, b = 3.6019 Å, c = 5.8663 Å
α = 90.00°, β = 90.00°, γ = 120.00°
Space group P3m1 (No. 156)
Unique sites:
Tb  0.0000  0.0000  0.0000 x1
Th  0.6667  0.3333  0.5009 x1
H  0.3333  0.6667  0.7641 x1

ρ	9.9	Mg/m³
size of the total moment	0.00	Bohr magnetons per cell
D(E_F)	0.7694	states/eV/atom

Most stable to least stable: B, A

## A
This record from Alexandria describes crystalline Tb2ThH at its relaxed geometry. The functional is PBE.

a = 3.388 Å, b = 3.388 Å, c = 8.465 Å
α = 90.00°, β = 90.00°, γ = 90.00°
Space group P4/mmm (No. 123)
Unique sites:
Tb  0.000  0.000  0.195 x2
Th  0.500  0.500  0.500 x1
H  0.500  0.500  0.000 x1

ρ	9.4	Mg/m³
size of the total moment	0.00	Bohr magnetons per cell
D(E_F)	0.9769	states/eV/atom

## B
This record from Alexandria describes crystalline Tb2ThH at its relaxed geometry. The functional is PBE.

a = 3.6078 Å, b = 3.6078 Å, c = 25.4568 Å
α = 90.00°, β = 90.00°, γ = 120.00°
Space group R-3m (No. 166, hexagonal axes)
Unique sites:
Tb  0.0000  0.0000  0.2227 x6
Th  0.0000  0.0000  0.0000 x3
H  0.0000  0.0000  0.5000 x3

ρ	9.6	Mg/m³
size of the total moment	0.00	Bohr magnetons per cell
D(E_F)	0.8699	states/eV/atom

Most stable to least stable: B, A

## A
This record from Alexandria describes crystalline Tb3Tl2H2 at its relaxed geometry. The functional is PBE.

a = 11.938 Å, b = 4.396 Å, c = 7.041 Å
α = 90.00°, β = 126.12°, γ = 90.00°
Space group C2/m (No. 12)
Unique sites:
Tb  0.000  0.000  0.000 x2
Tb  0.198  0.000  0.644 x4
Tl  0.040  0.500  0.748 x4
H  0.216  0.000  0.340 x4

ρ	9.9	Mg/m³
size of the total moment	0.00	Bohr magnetons per cell
D(E_F)	0.4580	states/eV/atom

## B
This record from Alexandria describes crystalline Tb3Tl2H2 at its relaxed geometry. The functional is PBE.

a = 10.477 Å, b = 4.653 Å, c = 6.556 Å
α = 90.00°, β = 107.71°, γ = 90.00°
Space group C2/m (No. 12)
Unique sites:
Tb  0.000  0.000  0.000 x2
Tb  0.162  0.500  0.351 x4
Tl  0.164  0.500  0.845 x4
H  0.124  0.000  0.380 x4

ρ	9.7	Mg/m³
size of the total moment	2.45	Bohr magnetons per cell
D(E_F)	0.6232	states/eV/atom

Most stable to least stable: A, B

## A
This record from Alexandria describes crystalline Tb2TmH at its relaxed geometry. The functional is PBE.

a = 3.344 Å, b = 3.344 Å, c = 8.402 Å
α = 90.00°, β = 90.00°, γ = 90.00°
Space group P4/mmm (No. 123)
Unique sites:
Tb  0.000  0.000  0.193 x2
Tm  0.500  0.500  0.500 x1
H  0.500  0.500  0.000 x1

ρ	8.6	Mg/m³
size of the total moment	0.00	Bohr magnetons per cell
D(E_F)	0.9995	states/eV/atom

## B
This record from Alexandria describes crystalline Tb2TmH at its relaxed geometry. The functional is PBE.

a = 3.5957 Å, b = 3.5957 Å, c = 25.3015 Å
α = 90.00°, β = 90.00°, γ = 120.00°
Space group R-3m (No. 166, hexagonal axes)
Unique sites:
Tb  0.0000  0.0000  0.2213 x6
Tm  0.0000  0.0000  0.0000 x3
H  0.0000  0.0000  0.5000 x3

ρ	8.6	Mg/m³
size of the total moment	0.00	Bohr magnetons per cell
D(E_F)	0.7244	states/eV/atom

Most stable to least stable: B, A